(1)
Material: CdMo2As
Method: DFT, PBE
State: relaxed

The calculation puts the magnetic moment at 0.0 μB per cell. Its total energy is -6.29 eV per atom. Its energy relative to the lowest polymorph listed for this composition is 35.43 kJ/mol of atoms. The formation energy is 49.5 kJ per mole of atoms.

The space group is Fm-3m (No. 225) and the conventional cell measures 6.413, 6.413 and 6.413 Å, with angles of 90.00, 90.00 and 90.00 degrees. The distinct sites, in fractional coordinates, are Cd at (0.000, 0.000, 0.000), Mo at (0.250, 0.250, 0.250) and As at (0.000, 0.000, 0.500).

(2)
Material: Ca2Zn2Hg
Method: DFT, PBE
State: relaxed

The calculation puts the magnetic moment at 0.0 μB per cell. Its total energy is -1.60 eV per atom. Its energy relative to the lowest polymorph listed for this composition is 10.20 kJ/mol of atoms. The formation energy is -21.8 kJ per mole of atoms.

The space group is I4/mmm (No. 139) and the conventional cell measures 3.754, 3.754 and 18.248 Å, with angles of 90.00, 90.00 and 90.00 degrees. The distinct sites, in fractional coordinates, are Ca at (0.000, 0.000, 0.104), Zn at (0.000, 0.500, 0.250) and Hg at (0.000, 0.000, 0.500).

(3)
Material: K2PrCuBr6
Method: DFT, PBE
State: relaxed

The calculation puts the magnetic moment at 0.1 μB per cell. Its total energy is -3.58 eV per atom. Its energy relative to the lowest polymorph listed for this composition is 0.00 kJ/mol of atoms. For the formation energy without anion corrections, the calculation gives -1.473 eV/atom.

The space group is P2_1/c (No. 14) and the conventional cell measures 8.033, 8.770 and 12.747 Å, with angles of 90.00, 128.30 and 90.00 degrees. The distinct sites, in fractional coordinates, are K at (0.226, 0.090, 0.247), Pr at (0.000, 0.000, 0.500), Cu at (0.500, 0.000, 0.000), Br at (0.118, 0.212, 0.950), Br at (0.250, 0.667, 0.946) and Br at (0.388, 0.034, 0.784).

(4)
Material: Mg3GaPd
Method: DFT, PBE
State: relaxed

The calculation puts the magnetic moment at 0.0 μB per cell. Its total energy is -2.67 eV per atom. Its energy relative to the lowest polymorph listed for this composition is 30.68 kJ/mol of atoms. The formation energy is -7.2 kJ per mole of atoms.

The space group is Pm-3m (No. 221) and the conventional cell measures 4.977, 4.977 and 4.977 Å, with angles of 90.00, 90.00 and 90.00 degrees. The distinct sites, in fractional coordinates, are Mg at (0.000, 0.000, 0.500), Ga at (0.500, 0.500, 0.500) and Pd at (0.000, 0.000, 0.000).